# 1
# HfSi2W PBE relaxed
# Final energy   -130.69 eV per cell
# Fermi-level density of states   0.655 states/eV per atom
data_HfSi2W
_cell_length_a 3.9222
_cell_length_b 3.9222
_cell_length_c 18.4096
_cell_angle_alpha 90.00
_cell_angle_beta 90.00
_cell_angle_gamma 90.00
_space_group_name_H-M_alt 'I -4 2 d'
_space_group_IT_number 122
_space_group_name_Hall 'I -4 2bw'
loop_
_atom_site_label
_atom_site_fract_x
_atom_site_fract_y
_atom_site_fract_z
_atom_site_occupancy
Hf1 0.0000 0.0000 0.0000 1
Si1 0.2082 0.2500 0.6250 1
W1 0.0000 0.0000 0.5000 1

# 2
# HfSi3W PBE relaxed
# Relative energy among the computed polymorphs   1055 meV/atom
# Fermi-level density of states   1.378 states/eV per atom
data_HfSi3W
_cell_length_a 4.7745
_cell_length_b 4.7745
_cell_length_c 4.7745
_cell_angle_alpha 90.00
_cell_angle_beta 90.00
_cell_angle_gamma 90.00
_space_group_name_H-M_alt 'P m -3 m'
_space_group_IT_number 221
_space_group_name_Hall '-P 4 2 3'
loop_
_atom_site_label
_atom_site_fract_x
_atom_site_fract_y
_atom_site_fract_z
_atom_site_occupancy
Hf1 0.0000 0.0000 0.0000 1
Si1 0.0000 0.0000 0.5000 1
W1 0.5000 0.5000 0.5000 1

# 3
# HfSiW PBE relaxed
# Final energy   -119.27 eV per cell
# Fermi-level density of states   0.519 states/eV per atom
data_HfSiW
_cell_length_a 9.9595
_cell_length_b 3.4903
_cell_length_c 6.9809
_cell_angle_alpha 90.00
_cell_angle_beta 123.99
_cell_angle_gamma 90.00
_space_group_name_H-M_alt 'C 1 2/m 1'
_space_group_IT_number 12
_space_group_name_Hall '-C 2y'
loop_
_atom_site_label
_atom_site_fract_x
_atom_site_fract_y
_atom_site_fract_z
_atom_site_occupancy
Hf1 0.0810 0.0000 0.3213 1
Si1 0.1363 0.5000 0.6671 1
W1 0.1731 0.5000 0.0674 1

# 4
# HfSiW4 PBE relaxed
# Final energy   -261.49 eV per cell
# Fermi-level density of states   0.605 states/eV per atom
data_HfSiW4
_cell_length_a 7.5055
_cell_length_b 7.5055
_cell_length_c 7.5055
_cell_angle_alpha 90.00
_cell_angle_beta 90.00
_cell_angle_gamma 90.00
_space_group_name_H-M_alt 'F -4 3 m'
_space_group_IT_number 216
_space_group_name_Hall 'F -4 2 3'
loop_
_atom_site_label
_atom_site_fract_x
_atom_site_fract_y
_atom_site_fract_z
_atom_site_occupancy
Hf1 0.0000 0.0000 0.0000 1
Si1 0.2500 0.2500 0.7500 1
W1 0.1245 0.1245 0.3755 1

# 5
# HfSiW PBE relaxed
# Final energy   -115.93 eV per cell
# Fermi-level density of states   0.504 states/eV per atom
data_HfSiW
_cell_length_a 3.3533
_cell_length_b 9.0528
_cell_length_c 6.9330
_cell_angle_alpha 90.00
_cell_angle_beta 90.00
_cell_angle_gamma 90.00
_space_group_name_H-M_alt 'P m c 21'
_space_group_IT_number 26
_space_group_name_Hall 'P 2c -2'
loop_
_atom_site_label
_atom_site_fract_x
_atom_site_fract_y
_atom_site_fract_z
_atom_site_occupancy
Hf1 0.0000 0.0529 0.0000 1
Hf2 0.0000 0.3570 0.6099 1
Si1 0.5000 0.1252 0.7033 1
Si2 0.5000 0.4434 0.3083 1
W1 0.5000 0.1693 0.3067 1
W2 0.5000 0.3242 0.9903 1

# 6
# HfSi2W PBE relaxed
# Final energy   -101.89 eV per cell
# Fermi-level density of states   0.322 states/eV per atom
data_HfSi2W
_cell_length_a 3.6631
_cell_length_b 3.6631
_cell_length_c 17.9182
_cell_angle_alpha 90.00
_cell_angle_beta 90.00
_cell_angle_gamma 120.00
_space_group_name_H-M_alt 'R -3 m'
_space_group_IT_number 166
_space_group_name_Hall '-R 3 2"'
loop_
_atom_site_label
_atom_site_fract_x
_atom_site_fract_y
_atom_site_fract_z
_atom_site_occupancy
Hf1 0.0000 0.0000 0.0000 1
Si1 0.0000 0.0000 0.2427 1
W1 0.0000 0.0000 0.5000 1

# 7
# HfSi2W PBE relaxed
# Final energy   -136.72 eV per cell
# Fermi-level density of states   0.545 states/eV per atom
data_HfSi2W
_cell_length_a 6.3160
_cell_length_b 6.3160
_cell_length_c 6.3160
_cell_angle_alpha 90.00
_cell_angle_beta 90.00
_cell_angle_gamma 90.00
_space_group_name_H-M_alt 'F m -3 m'
_space_group_IT_number 225
_space_group_name_Hall '-F 4 2 3'
loop_
_atom_site_label
_atom_site_fract_x
_atom_site_fract_y
_atom_site_fract_z
_atom_site_occupancy
Hf1 0.0000 0.0000 0.0000 1
Si1 0.2500 0.2500 0.2500 1
W1 0.0000 0.0000 0.5000 1

# 8
# HfSi2W2 PBE relaxed
# Final energy   -95.93 eV per cell
# Fermi-level density of states   0.733 states/eV per atom
data_HfSi2W2
_cell_length_a 6.9379
_cell_length_b 6.9379
_cell_length_c 3.2522
_cell_angle_alpha 90.00
_cell_angle_beta 90.00
_cell_angle_gamma 90.00
_space_group_name_H-M_alt 'P 4/m b m'
_space_group_IT_number 127
_space_group_name_Hall '-P 4 2ab'
loop_
_atom_site_label
_atom_site_fract_x
_atom_site_fract_y
_atom_site_fract_z
_atom_site_occupancy
Hf1 0.0000 0.0000 0.0000 1
Si1 0.1345 0.3655 0.0000 1
W1 0.1543 0.6543 0.5000 1

# 9
# Hf2Si4W3 PBE relaxed
# Final energy   -170.00 eV per cell
# Fermi-level density of states   0.488 states/eV per atom
data_Hf2Si4W3
_cell_length_a 6.6878
_cell_length_b 6.7554
_cell_length_c 6.5936
_cell_angle_alpha 90.00
_cell_angle_beta 109.26
_cell_angle_gamma 90.00
_space_group_name_H-M_alt 'P 1 21/c 1'
_space_group_IT_number 14
_space_group_name_Hall '-P 2ybc'
loop_
_atom_site_label
_atom_site_fract_x
_atom_site_fract_y
_atom_site_fract_z
_atom_site_occupancy
Hf1 0.1893 0.1677 0.0592 1
Si1 0.0845 0.5420 0.8593 1
Si2 0.4989 0.1325 0.8687 1
W1 0.2429 0.6612 0.2501 1
W2 0.5000 0.0000 0.5000 1

# 10
# HfSiW PBE relaxed
# Final energy   -120.89 eV per cell
# Fermi-level density of states   0.431 states/eV per atom
data_HfSiW
_cell_length_a 6.9426
_cell_length_b 3.5144
_cell_length_c 8.1882
_cell_angle_alpha 90.00
_cell_angle_beta 90.00
_cell_angle_gamma 90.00
_space_group_name_H-M_alt 'P n m a'
_space_group_IT_number 62
_space_group_name_Hall '-P 2ac 2n'
loop_
_atom_site_label
_atom_site_fract_x
_atom_site_fract_y
_atom_site_fract_z
_atom_site_occupancy
Hf1 0.0415 0.2500 0.1661 1
Si1 0.2437 0.7500 0.3595 1
W1 0.1333 0.2500 0.5606 1

# 11
# HfSi3W PBE relaxed
# Relative energy among the computed polymorphs   0 meV/atom
# Fermi-level density of states   0.539 states/eV per atom
data_HfSi3W
_cell_length_a 4.6787
_cell_length_b 4.6787
_cell_length_c 4.6787
_cell_angle_alpha 90.00
_cell_angle_beta 90.00
_cell_angle_gamma 90.00
_space_group_name_H-M_alt 'P m -3 m'
_space_group_IT_number 221
_space_group_name_Hall '-P 4 2 3'
loop_
_atom_site_label
_atom_site_fract_x
_atom_site_fract_y
_atom_site_fract_z
_atom_site_occupancy
Hf1 0.0000 0.0000 0.0000 1
Si1 0.0000 0.5000 0.5000 1
W1 0.5000 0.5000 0.5000 1

# 12
# HfSi2W4 PBE relaxed
# Final energy   -143.90 eV per cell
# Fermi-level density of states   0.769 states/eV per atom
data_HfSi2W4
_cell_length_a 4.3554
_cell_length_b 12.7636
_cell_length_c 4.3434
_cell_angle_alpha 90.00
_cell_angle_beta 90.00
_cell_angle_gamma 90.00
_space_group_name_H-M_alt 'C m m m'
_space_group_IT_number 65
_space_group_name_Hall '-C 2 2'
loop_
_atom_site_label
_atom_site_fract_x
_atom_site_fract_y
_atom_site_fract_z
_atom_site_occupancy
Hf1 0.0000 0.0000 0.0000 1
Si1 0.0000 0.4093 0.5000 1
W1 0.0000 0.1878 0.5000 1
W2 0.0000 0.3117 0.0000 1

Copy entry 8 word for word.
# HfSi2W2 PBE relaxed
# Final energy   -95.93 eV per cell
# Fermi-level density of states   0.733 states/eV per atom
data_HfSi2W2
_cell_length_a 6.9379
_cell_length_b 6.9379
_cell_length_c 3.2522
_cell_angle_alpha 90.00
_cell_angle_beta 90.00
_cell_angle_gamma 90.00
_space_group_name_H-M_alt 'P 4/m b m'
_space_group_IT_number 127
_space_group_name_Hall '-P 4 2ab'
loop_
_atom_site_label
_atom_site_fract_x
_atom_site_fract_y
_atom_site_fract_z
_atom_site_occupancy
Hf1 0.0000 0.0000 0.0000 1
Si1 0.1345 0.3655 0.0000 1
W1 0.1543 0.6543 0.5000 1

Question: The highest Fermi-level density of states belongs to which entry?
Answer: number 2

Question: Which formula does entry 6 have?
Answer: HfSi2W

Question: Number 3 is which compound?
Answer: HfSiW